This record from the Alexandria database describes crystalline FeReGe2As at its relaxed geometry. The functional is PBE.

Cell and atoms, written as POSCAR:
```
FeReGe2As
1.0
4.491 0.000 0.000
0.000 4.491 0.000
0.000 0.000 4.536
Fe Re Ge As
1 1 2 1
direct
0.000 0.000 0.000
0.500 0.500 0.500
0.000 0.500 0.000
0.500 0.000 0.000
0.000 0.000 0.500
```

Values from the calculation:
D(E_F), states/eV per cell: 4.514
V, Å³/cell: 91.49
Magnetization, Bohr magnetons per cell: 2.222
Calculated formation energy, meV per atom: 1077.1

=====

This record from the Alexandria database describes crystalline FeGeSbAs2 at its relaxed geometry. The functional is PBE.

Cell and atoms, written as POSCAR:
```
FeGeSbAs2
1.0
5.114 0.000 0.000
0.000 5.114 0.000
0.000 0.000 4.607
Fe Ge Sb As
1 1 1 2
direct
0.000 0.000 0.000
0.000 0.000 0.500
0.500 0.500 0.000
0.000 0.500 0.500
0.500 0.000 0.500
```

Values from the calculation:
D(E_F), states/eV per cell: 5.743
V, Å³/cell: 120.52
Formation energy without anion corrections, eV per atom: 0.8007
Magnetization, Bohr magnetons per cell: 2.922

=====

This record from the Alexandria database describes crystalline FeGeAsSe2 at its relaxed geometry. The functional is PBE.

Cell and atoms, written as POSCAR:
```
FeGeAsSe2
1.0
4.929 0.000 0.000
0.000 4.929 0.000
0.000 0.000 4.395
Fe Ge As Se
1 1 1 2
direct
0.000 0.000 0.000
0.500 0.500 0.500
0.000 0.000 0.500
0.000 0.500 0.000
0.500 0.000 0.000
```

Values from the calculation:
Energy above the lowest structure with this stoichiometry, meV/atom: 0
D(E_F), states/eV per cell: 5.473
V, Å³/cell: 106.79
Formation energy without anion corrections, eV per atom: 0.3983
Magnetization, Bohr magnetons per cell: 2.223

=====

This record from the Alexandria database describes crystalline FeGeAsSe2 at its relaxed geometry. The functional is PBE.

Cell and atoms, written as POSCAR:
```
FeGeAsSe2
1.0
4.957 0.000 0.000
0.000 4.957 0.000
0.000 0.000 4.922
Fe Ge As Se
1 1 1 2
direct
0.000 0.000 0.000
0.500 0.500 0.500
0.500 0.500 0.000
0.000 0.500 0.500
0.500 0.000 0.500
```

Values from the calculation:
Energy above the lowest structure with this stoichiometry, meV/atom: 520
D(E_F), states/eV per cell: 6.487
V, Å³/cell: 120.97
Formation energy without anion corrections, eV per atom: 0.9179
Magnetization, Bohr magnetons per cell: 3.472

=====

The lowest D(E_F) belongs to which entry?
FeReGe2As

=====

Look up the V of the third one.
106.79 Å³/cell